No. 1
A relaxed structure of Fe2CS, computed with PBEsol.

Properties
formation energy (no corrections) = 0.592 eV/atom
total energy = -7.40 eV per atom
Fermi-level density of states = 4.60 states/eV/f.u.

Cell lengths 3.7032, 3.7032, 3.7032 Å; angles 60.00, 60.00, 60.00 degrees
Last column: nearest neighbours and their distance in Å.
Element x y z (fractional)
C: 0.0000 0.0000 0.0000  8 Fe 2.27
S: 0.5000 0.5000 0.5000  8 Fe 2.27
Fe: 0.2500 0.2500 0.2500  4 S 2.27, 4 C 2.27
Fe: 0.7500 0.7500 0.7500  4 S 2.27, 4 C 2.27

No. 2
A relaxed structure of FeSb3C, computed with PBEsol.

Properties
formation energy (no corrections) = 1.504 eV/atom
total energy = -4.95 eV per atom
Fermi-level density of states = 3.27 states/eV/f.u.

Cell lengths 4.7481, 4.7481, 4.7481 Å; angles 90.00, 90.00, 90.00 degrees
Last column: nearest neighbours and their distance in Å.
Element x y z (fractional)
Sb: 0.0000 0.5000 0.0000  2 Fe 2.37
Sb: 0.0000 0.0000 0.5000  2 Fe 2.37
Sb: 0.5000 0.0000 0.0000  2 Fe 2.37
C: 0.5000 0.5000 0.5000  12 Sb 3.36
Fe: 0.0000 0.0000 0.0000  6 Sb 2.37

No. 3
A relaxed structure of ScFe2SbC, computed with PBEsol.

Properties
formation energy (no corrections) = -0.163 eV/atom
total energy = -7.91 eV per atom
Fermi-level density of states = 4.55 states/eV/f.u.

Cell lengths 3.8873, 3.8873, 4.4430 Å; angles 90.00, 90.00, 90.00 degrees
Last column: nearest neighbours and their distance in Å.
Element x y z (fractional)
Sc: 0.0000 0.0000 0.5000  2 C 2.22
Sb: 0.5000 0.5000 0.5000  4 Sc 2.75, 8 Fe 2.95
C: 0.0000 0.0000 0.0000  4 Fe 1.94
Fe: 0.0000 0.5000 0.0000  2 C 1.94
Fe: 0.5000 0.0000 0.0000  2 C 1.94

No. 4
A relaxed structure of ScFeC2, computed with PBEsol.

Properties
total energy = -9.06 eV per atom
Fermi-level density of states = 1.93 states/eV/f.u.
energy of formation from the pure elements = -0.3419 eV/atom

Cell lengths 3.3136, 3.3136, 7.2283 Å; angles 90.00, 90.00, 90.00 degrees
Last column: nearest neighbours and their distance in Å.
Element x y z (fractional)
Sc: 0.5000 0.0000 0.6533  5 C 2.19-2.34
Sc: 0.0000 0.5000 0.3467  5 C 2.19-2.34
C: 0.0000 0.5000 0.8459  1 C 1.42
C: 0.5000 0.0000 0.3507  1 C 1.42
C: 0.5000 0.0000 0.1541  1 C 1.42
C: 0.0000 0.5000 0.6493  1 C 1.42
Fe: 0.5000 0.5000 0.0000  4 C 2.00
Fe: 0.0000 0.0000 0.0000  4 C 2.00

No. 5
A relaxed structure of FeC2Se, computed with PBEsol.

Properties
formation energy (no corrections) = 1.091 eV/atom
total energy = -6.93 eV per atom
Fermi-level density of states = 1.39 states/eV/f.u.

Cell lengths 4.5755, 4.5755, 5.4226 Å; angles 114.95, 114.95, 90.00 degrees
Last column: nearest neighbours and their distance in Å.
Element x y z (fractional)
C: 0.4157 0.8750 0.2500  2 Fe 1.85, 2 Se 2.06
C: 0.8343 0.3750 0.2500  2 Fe 1.85, 2 Se 2.06
C: 0.1250 0.1657 0.7500  2 Fe 1.85, 2 Se 2.06
C: 0.6250 0.5843 0.7500  2 Fe 1.85, 2 Se 2.06
Fe: 0.7500 0.2500 0.5000  4 C 1.85
Fe: 0.5000 0.5000 0.0000  4 C 1.85
Se: 0.2500 0.7500 0.5000  4 C 2.06
Se: 0.0000 0.0000 0.0000  4 C 2.06

No. 6
A relaxed structure of FeSiC3, computed with PBEsol.

Properties
formation energy (no corrections) = 1.982 eV/atom
total energy = -6.75 eV per atom
Fermi-level density of states = 2.22 states/eV/f.u.

Cell lengths 3.7030, 3.7030, 3.7030 Å; angles 90.00, 90.00, 90.00 degrees
Last column: nearest neighbours and their distance in Å.
Element x y z (fractional)
C: 0.0000 0.5000 0.0000  2 Fe 1.85
C: 0.0000 0.0000 0.5000  2 Fe 1.85
C: 0.5000 0.0000 0.0000  2 Fe 1.85
Si: 0.5000 0.5000 0.5000  12 C 2.62
Fe: 0.0000 0.0000 0.0000  6 C 1.85